1.
Computed, not measured: a geometry-optimized Pm2NpScO6 structure at the GGA-PBE level of DFT.

uncorrected formation energy: -31.79 eV per formula unit
E: -0.664 Ry/atom

Cell: 5.7326 6.0003 8.3946 Å, 90.00 89.45 90.00°
Last column: nearest neighbours and their distance in Å.
Fractional positions:
Np (0.5000, 0.0000, 0.5000)  6 O 2.29-2.36
Np (0.0000, 0.5000, 0.0000)  6 O 2.29-2.36
O (0.7971, 0.8136, 0.9312)  1 Sc 2.11, 1 Np 2.29, 1 Pm 2.35
O (0.8186, 0.7956, 0.5746)  1 Sc 2.15, 1 Np 2.29, 1 Pm 2.35
O (0.1369, 0.4356, 0.7383)  1 Sc 2.19, 2 Pm 2.32-2.44, 1 Np 2.36
O (0.1814, 0.2044, 0.4254)  1 Sc 2.15, 1 Np 2.29, 1 Pm 2.35
O (0.8631, 0.5644, 0.2617)  1 Sc 2.19, 2 Pm 2.32-2.44, 1 Np 2.36
O (0.2029, 0.1864, 0.0688)  1 Sc 2.11, 1 Np 2.29, 1 Pm 2.35
O (0.3186, 0.7044, 0.0746)  1 Sc 2.15, 1 Np 2.29, 1 Pm 2.35
O (0.2971, 0.6864, 0.4312)  1 Sc 2.11, 1 Np 2.29, 1 Pm 2.35
O (0.6814, 0.2956, 0.9254)  1 Sc 2.15, 1 Np 2.29, 1 Pm 2.35
O (0.7029, 0.3136, 0.5688)  1 Sc 2.11, 1 Np 2.29, 1 Pm 2.35
O (0.3631, 0.9356, 0.7617)  1 Sc 2.19, 2 Pm 2.32-2.44, 1 Np 2.36
O (0.6369, 0.0644, 0.2383)  1 Sc 2.19, 2 Pm 2.32-2.44, 1 Np 2.36
Pm (0.4796, 0.4422, 0.2507)  4 O 2.32-2.44
Pm (0.0204, 0.9422, 0.2493)  4 O 2.32-2.44
Pm (0.9796, 0.0578, 0.7507)  4 O 2.32-2.44
Pm (0.5204, 0.5578, 0.7493)  4 O 2.32-2.44
Sc (0.5000, 0.0000, 0.0000)  6 O 2.11-2.19
Sc (0.0000, 0.5000, 0.5000)  6 O 2.11-2.19

---

2.
Computed, not measured: a geometry-optimized Ac7Ge2Ru2 structure at the GGA-PBE level of DFT.

E: -0.401 Ry/atom
offset from the most stable computed form: 0.0 kJ per mole of atoms
energy relative to the elements: -309 meV per atom

Cell: 4.5581 9.6282 9.6282 Å, 62.27 76.31 76.31°
Last column: nearest neighbours and their distance in Å.
Fractional positions:
Ac (0.3928, 0.7151, 0.4994)  3 Ru 3.11-3.48, 2 Ge 3.38, 1 Ac 3.40
Ac (0.1215, 0.1618, 0.5952)  2 Ru 3.05
Ac (0.6072, 0.5006, 0.2849)  3 Ru 3.11-3.48, 2 Ge 3.38, 1 Ac 3.40
Ac (0.8163, 0.0610, 0.3064)  1 Ru 2.99, 3 Ge 3.15-3.22
Ac (0.1837, 0.6936, 0.9390)  1 Ru 2.99, 3 Ge 3.15-3.22
Ac (0.5000, 0.0029, 0.9971)  2 Ru 2.99
Ac (0.8785, 0.4048, 0.8382)  2 Ru 3.05
Ge (0.2640, 0.3157, 0.1564)  5 Ac 3.15-3.38
Ge (0.7360, 0.8436, 0.6843)  5 Ac 3.15-3.38
Ru (0.5000, 0.3460, 0.6540)  6 Ac 3.05-3.11
Ru (0.0000, 0.8087, 0.1913)  4 Ac 2.99

---

- Among the records above, which one has the highest E?
  Ac7Ge2Ru2